a.
Crystalline Na3RuS at its relaxed geometry. Source: the Alexandria database, functional PBE.

Cell lengths 5.292, 5.292, 5.292 Å; angles 90.00, 90.00, 90.00 degrees
Element x y z (fractional)
1 Na 0.000 0.000 0.500
2 Na 0.000 0.500 0.000
3 Na 0.500 0.000 0.000
4 Ru 0.500 0.500 0.500
5 S 0.000 0.000 0.000

## Properties
- Magnetization: 0.60 μB per atom
- D(E_F): 0.4308 states/eV per atom
- Volume: 29.64 Å³/atom
- Space-group type: No. 221


b.
Crystalline Na3RuS at its relaxed geometry. Source: the Alexandria database, functional PBE.

Cell lengths 5.515, 5.515, 5.515 Å; angles 90.00, 90.00, 90.00 degrees
Element x y z (fractional)
1 Na 0.000 0.000 0.500
2 Na 0.000 0.500 0.000
3 Na 0.500 0.000 0.000
4 Ru 0.000 0.000 0.000
5 S 0.500 0.500 0.500

## Properties
- Magnetization: 0.60 μB per atom
- D(E_F): 0.8749 states/eV per atom
- Volume: 33.55 Å³/atom
- Space-group type: No. 221


The energetic minimum among the shown structures is a; the next structure lies 0.515 eV/atom above.